DFT (PBE) results for NaPmSO after structural relaxation.

Unit cell a=6.778 b=7.479 c=6.458 alpha=90.00 beta=103.24 gamma=90.00
Sites, in units of the cell vectors:
Na 0.090 0.243 0.495
Na 0.090 0.257 0.995
Na 0.910 0.743 0.005
Na 0.910 0.757 0.505
Pm 0.447 0.622 0.761
Pm 0.447 0.878 0.261
Pm 0.553 0.122 0.739
Pm 0.553 0.378 0.239
S 0.206 0.580 0.328
S 0.206 0.920 0.828
S 0.794 0.080 0.172
S 0.794 0.420 0.672
O 0.388 0.158 0.388
O 0.388 0.342 0.888
O 0.612 0.658 0.112
O 0.612 0.842 0.612

Calculated values
- Energy relative to the lowest polymorph listed for this composition: 4.0 kJ/mol of formula units